Record 1
! BaSmAgTe3, optimized geometry, DFT PBE-GGA; values from VASP
&SYSTEM
  ibrav = 0, nat = 24, ntyp = 4
/
ATOMIC_SPECIES
Ba 137.33 Ba.upf
Sm 150.36 Sm.upf
Ag 107.87 Ag.upf
Te 127.60 Te.upf
CELL_PARAMETERS angstrom
12.621 0.000 0.000
0.000 4.765 0.000
0.000 0.000 13.073
ATOMIC_POSITIONS crystal
Ba 0.198 0.250 0.015
Ba 0.302 0.750 0.515
Ba 0.698 0.250 0.485
Ba 0.802 0.750 0.985
Sm 0.022 0.250 0.314
Sm 0.478 0.750 0.814
Sm 0.522 0.250 0.186
Sm 0.978 0.750 0.686
Ag 0.238 0.750 0.218
Ag 0.262 0.250 0.718
Ag 0.738 0.750 0.282
Ag 0.762 0.250 0.782
Te 0.032 0.750 0.145
Te 0.094 0.250 0.564
Te 0.219 0.750 0.817
Te 0.281 0.250 0.317
Te 0.406 0.750 0.064
Te 0.468 0.250 0.645
Te 0.532 0.750 0.355
Te 0.594 0.250 0.936
Te 0.719 0.750 0.683
Te 0.781 0.250 0.183
Te 0.906 0.750 0.436
Te 0.968 0.250 0.855
! E (eV/atom): -4.358
! ρ (Mg/m³): 6.58

***

Record 2
! Co2AgIr, optimized geometry, DFT PBE-GGA; values from VASP
&SYSTEM
  ibrav = 0, nat = 4, ntyp = 3
/
ATOMIC_SPECIES
Co 58.93 Co.upf
Ag 107.87 Ag.upf
Ir 192.22 Ir.upf
CELL_PARAMETERS angstrom
0.000 3.028 3.028
3.028 0.000 3.028
3.028 3.028 0.000
ATOMIC_POSITIONS crystal
Co 0.000 0.000 0.000
Co 0.250 0.250 0.250
Ag 0.500 0.500 0.500
Ir 0.750 0.750 0.750
! E (eV/atom): -5.970
! ρ (Mg/m³): 12.50
! ΔH_f (0 K) (kJ per mole of atoms): 48.5

***

Record 3
! Tb2Sm3Bi3, optimized geometry, DFT PBE-GGA; values from VASP
&SYSTEM
  ibrav = 0, nat = 16, ntyp = 3
/
ATOMIC_SPECIES
Tb 158.93 Tb.upf
Sm 150.36 Sm.upf
Bi 208.98 Bi.upf
CELL_PARAMETERS angstrom
9.294 0.000 0.000
-4.647 8.049 0.000
0.000 0.000 6.465
ATOMIC_POSITIONS crystal
Tb 0.333 0.667 0.000
Tb 0.333 0.667 0.500
Tb 0.667 0.333 0.000
Tb 0.667 0.333 0.500
Sm 0.000 0.245 0.250
Sm 0.000 0.755 0.750
Sm 0.245 0.000 0.250
Sm 0.245 0.245 0.750
Sm 0.755 0.000 0.750
Sm 0.755 0.755 0.250
Bi 0.000 0.391 0.750
Bi 0.000 0.609 0.250
Bi 0.391 0.000 0.750
Bi 0.391 0.391 0.250
Bi 0.609 0.000 0.250
Bi 0.609 0.609 0.750
! E (eV/atom): -5.199
! ρ (Mg/m³): 9.59

***

Record 4
! La2PrSi4Ni2Pd2, optimized geometry, DFT PBE-GGA; values from VASP
&SYSTEM
  ibrav = 0, nat = 11, ntyp = 5
/
ATOMIC_SPECIES
La 138.91 La.upf
Pr 140.91 Pr.upf
Si 28.09 Si.upf
Ni 58.69 Ni.upf
Pd 106.42 Pd.upf
CELL_PARAMETERS angstrom
-2.067 2.105 12.268
2.067 -2.105 12.268
2.067 2.105 -12.268
ATOMIC_POSITIONS crystal
La 0.152 0.152 0.000
La 0.848 0.848 0.000
Pr 0.500 0.000 0.500
Si 0.049 0.549 0.500
Si 0.295 0.295 0.000
Si 0.705 0.705 0.000
Si 0.951 0.451 0.500
Ni 0.251 0.751 0.500
Ni 0.749 0.249 0.500
Pd 0.399 0.399 0.000
Pd 0.601 0.601 0.000
! E (eV/atom): -6.128
! ρ (Mg/m³): 6.70

***

Record 5
! TcPAuO, optimized geometry, DFT PBE-GGA; values from VASP
&SYSTEM
  ibrav = 0, nat = 8, ntyp = 4
/
ATOMIC_SPECIES
Tc 98.00 Tc.upf
P 30.97 P.upf
Au 196.97 Au.upf
O 16.00 O.upf
CELL_PARAMETERS angstrom
3.607 0.000 0.000
0.000 3.607 0.000
0.000 0.000 8.698
ATOMIC_POSITIONS crystal
Tc 0.250 0.250 0.138
Tc 0.750 0.750 0.862
P 0.250 0.250 0.744
P 0.750 0.750 0.256
Au 0.250 0.750 0.500
Au 0.750 0.250 0.500
O 0.250 0.750 0.000
O 0.750 0.250 0.000
! E (eV/atom): -5.843
! ρ (Mg/m³): 10.04

***

Record 6
! Sc2Cu3Si5, optimized geometry, DFT PBE-GGA; values from VASP
&SYSTEM
  ibrav = 0, nat = 20, ntyp = 3
/
ATOMIC_SPECIES
Sc 44.96 Sc.upf
Cu 63.55 Cu.upf
Si 28.09 Si.upf
CELL_PARAMETERS angstrom
5.675 -5.433 0.000
5.675 5.433 0.000
-2.632 0.000 4.874
ATOMIC_POSITIONS crystal
Sc 0.120 0.368 0.242
Sc 0.368 0.120 0.742
Sc 0.632 0.880 0.258
Sc 0.880 0.632 0.758
Cu 0.004 0.737 0.367
Cu 0.263 0.996 0.133
Cu 0.497 0.503 0.250
Cu 0.503 0.497 0.750
Cu 0.737 0.004 0.867
Cu 0.996 0.263 0.633
Si 0.003 0.997 0.750
Si 0.234 0.469 0.848
Si 0.258 0.742 0.750
Si 0.263 0.737 0.250
Si 0.469 0.234 0.348
Si 0.531 0.766 0.652
Si 0.737 0.263 0.750
Si 0.742 0.258 0.250
Si 0.766 0.531 0.152
Si 0.997 0.003 0.250
! E (eV/atom): -5.389
! ρ (Mg/m³): 4.65

***

Record 7
! AlCoNiPd, optimized geometry, DFT PBE-GGA; values from VASP
&SYSTEM
  ibrav = 0, nat = 4, ntyp = 4
/
ATOMIC_SPECIES
Al 26.98 Al.upf
Co 58.93 Co.upf
Ni 58.69 Ni.upf
Pd 106.42 Pd.upf
CELL_PARAMETERS angstrom
0.000 2.943 2.943
2.943 0.000 2.943
2.943 2.943 0.000
ATOMIC_POSITIONS crystal
Al 0.000 0.000 0.000
Co 0.500 0.500 0.500
Ni 0.250 0.250 0.250
Pd 0.750 0.750 0.750
! E (eV/atom): -5.686
! ρ (Mg/m³): 8.18

***

Record 8
! PmFeGe, optimized geometry, DFT PBE-GGA; values from VASP
&SYSTEM
  ibrav = 0, nat = 3, ntyp = 3
/
ATOMIC_SPECIES
Pm 145.00 Pm.upf
Fe 55.84 Fe.upf
Ge 72.64 Ge.upf
CELL_PARAMETERS angstrom
0.000 3.384 3.384
3.384 0.000 3.384
3.384 3.384 0.000
ATOMIC_POSITIONS crystal
Pm 0.000 0.000 0.000
Fe 0.750 0.750 0.750
Ge 0.250 0.250 0.250
! E (eV/atom): -5.275
! ρ (Mg/m³): 5.86

***

Among the records above, which one has the highest ρ? Co2AgIr

***

What is the E in the seventh record? -5.686 eV/atom